Here is a relaxed structure of Ni3IO from Alexandria via LeMat-Bulk. Energies are from PBE with a Hubbard U. Values from VASP.

The structure in Quantum ESPRESSO input format:
```
&SYSTEM
  ibrav = 0, nat = 5, ntyp = 3
/
ATOMIC_SPECIES
Ni 58.69 Ni.upf
O 16.00 O.upf
I 126.90 I.upf
CELL_PARAMETERS angstrom
-2.7122 -3.5196 1.9789
4.0245 -2.5493 0.9819
0.3266 2.1848 4.3335
ATOMIC_POSITIONS angstrom
Ni 2.0122 -1.2746 0.4909
Ni -1.3561 -1.7598 0.9894
Ni 0.1633 1.0924 2.1668
O 0.8195 -1.9420 3.6471
I 0.0000 0.0000 0.0000
```

Output
DOS(E_F) ... 0.401 states/eV/cell
E ... -1.33 eV/atom
Excess energy over the best structure of this formula in the dataset ... 33.41 kcal/mol of atoms